Entry 1:
IrSeBr | GGA-PBEsol | relaxed

Lattice parameters (Å, degrees): 3.116 3.116 12.388 90.00 90.00 90.00
Space group I4mm (No. 107)
Inequivalent atoms, fractional coordinates:
Ir  0.000  0.000  0.000 (multiplicity 2)
Se  0.000  0.000  0.601 (multiplicity 2)
Br  0.000  0.000  0.340 (multiplicity 2)

Output
* density: 9.69 Mg/m³
* magnetization: 0.00 μB/f.u.
* raw formation energy: 334 meV per atom
* VASP energy: -4.847 eV/atom

Entry 2:
Ir2SeBr | GGA-PBEsol | relaxed

Lattice parameters (Å, degrees): 4.307 4.307 6.868 90.00 90.00 90.00
Space group I4/mmm (No. 139)
Inequivalent atoms, fractional coordinates:
Ir  0.000  0.500  0.250 (multiplicity 4)
Se  0.000  0.000  0.000 (multiplicity 2)
Br  0.000  0.000  0.500 (multiplicity 2)

Output
* density: 14.16 Mg/m³
* magnetization: 0.00 μB/f.u.
* raw formation energy: 912 meV per atom
* energy relative to the lowest polymorph listed for this composition: 0.311 eV per atom
* VASP energy: -5.430 eV/atom

Entry 3:
Ir2SeBr | GGA-PBEsol | relaxed

Lattice parameters (Å, degrees): 2.800 5.118 9.786 90.00 90.00 90.00
Space group Cmm2 (No. 35)
Inequivalent atoms, fractional coordinates:
Ir  0.000  0.000  0.000 (multiplicity 2)
Ir  0.000  0.500  0.226 (multiplicity 2)
Se  0.000  0.000  0.444 (multiplicity 2)
Br  0.000  0.500  0.773 (multiplicity 2)

Output
* density: 12.86 Mg/m³
* magnetization: 0.00 μB/f.u.
* raw formation energy: 602 meV per atom
* energy relative to the lowest polymorph listed for this composition: 0.000 eV per atom
* VASP energy: -5.740 eV/atom

Entry 4:
IrSe3Br9 | GGA-PBEsol | relaxed

Lattice parameters (Å, degrees): 8.422 13.316 16.068 90.00 117.52 90.00
Space group P2_1/c (No. 14)
Inequivalent atoms, fractional coordinates:
Ir  0.213  0.250  0.145 (multiplicity 4)
Se  0.186  0.190  0.282 (multiplicity 4)
Se  0.208  0.086  0.085 (multiplicity 4)
Se  0.248  0.172  0.519 (multiplicity 4)
Br  0.111  0.745  0.978 (multiplicity 4)
Br  0.117  0.689  0.248 (multiplicity 4)
Br  0.159  0.097  0.721 (multiplicity 4)
Br  0.173  0.104  0.929 (multiplicity 4)
Br  0.243  0.015  0.290 (multiplicity 4)
Br  0.243  0.503  0.037 (multiplicity 4)
Br  0.453  0.697  0.954 (multiplicity 4)
Br  0.471  0.748  0.232 (multiplicity 4)
Br  0.494  0.009  0.156 (multiplicity 4)

Output
* density: 4.77 Mg/m³
* magnetization: 0.00 μB/f.u.
* raw formation energy: -182 meV per atom
* energy relative to the lowest polymorph listed for this composition: 0.022 eV per atom
* VASP energy: -3.121 eV/atom

Entry 5:
Ir2SeBr | GGA-PBEsol | relaxed

Lattice parameters (Å, degrees): 2.796 4.101 6.161 90.00 90.00 90.00
Space group Pmmm (No. 47)
Inequivalent atoms, fractional coordinates:
Ir  0.000  0.000  0.220 (multiplicity 2)
Se  0.000  0.500  0.000 (multiplicity 1)
Br  0.000  0.500  0.500 (multiplicity 1)

Output
* density: 12.77 Mg/m³
* magnetization: 0.00 μB/f.u.
* raw formation energy: 715 meV per atom
* energy relative to the lowest polymorph listed for this composition: 0.113 eV per atom
* VASP energy: -5.627 eV/atom

Entry 6:
Ir2SeBr | GGA-PBEsol | relaxed

Lattice parameters (Å, degrees): 2.849 4.442 5.143 90.00 90.00 90.00
Space group Pmmm (No. 47)
Inequivalent atoms, fractional coordinates:
Ir  0.000  0.000  0.000 (multiplicity 1)
Ir  0.500  0.000  0.500 (multiplicity 1)
Se  0.000  0.500  0.500 (multiplicity 1)
Br  0.500  0.500  0.000 (multiplicity 1)

Output
* density: 13.86 Mg/m³
* magnetization: 0.00 μB/f.u.
* raw formation energy: 892 meV per atom
* energy relative to the lowest polymorph listed for this composition: 0.290 eV per atom
* VASP energy: -5.450 eV/atom

Entry 7:
Ir2Se9Br6 | GGA-PBEsol | relaxed

Lattice parameters (Å, degrees): 12.437 12.437 24.651 90.00 90.00 90.00
Space group I4_1/a (No. 88, origin choice 2)
Inequivalent atoms, fractional coordinates:
Ir  0.108  0.391  0.356 (multiplicity 16)
Se  0.000  0.250  0.485 (multiplicity 8)
Se  0.002  0.107  0.830 (multiplicity 16)
Se  0.034  0.156  0.974 (multiplicity 16)
Se  0.078  0.081  0.375 (multiplicity 16)
Se  0.144  0.418  0.959 (multiplicity 16)
Br  0.104  0.046  0.710 (multiplicity 16)
Br  0.129  0.029  0.569 (multiplicity 16)
Br  0.132  0.441  0.091 (multiplicity 16)

Output
* density: 5.49 Mg/m³
* magnetization: 0.00 μB/f.u.
* raw formation energy: -224 meV per atom
* VASP energy: -4.078 eV/atom

Entry 8:
IrSeBr | GGA-PBEsol | relaxed

Lattice parameters (Å, degrees): 6.278 6.278 6.278 90.00 90.00 90.00
Space group F-43m (No. 216)
Inequivalent atoms, fractional coordinates:
Ir  0.000  0.000  0.000 (multiplicity 4)
Se  0.250  0.250  0.750 (multiplicity 4)
Br  0.000  0.000  0.500 (multiplicity 4)

Output
* density: 9.43 Mg/m³
* magnetization: 0.00 μB/f.u.
* raw formation energy: 1233 meV per atom
* VASP energy: -3.948 eV/atom

Entry 9:
TlIrSe2Br | GGA-PBEsol | relaxed

Lattice parameters (Å, degrees): 4.826 4.826 5.364 90.00 90.00 90.00
Space group P4/mmm (No. 123)
Inequivalent atoms, fractional coordinates:
Tl  0.000  0.000  0.000 (multiplicity 1)
Ir  0.500  0.500  0.500 (multiplicity 1)
Se  0.000  0.500  0.500 (multiplicity 2)
Br  0.500  0.500  0.000 (multiplicity 1)

Output
* density: 8.43 Mg/m³
* magnetization: 0.00 μB/f.u.
* raw formation energy: 106 meV per atom
* VASP energy: -4.299 eV/atom

Entry 10:
ZnIrSe2Br | GGA-PBEsol | relaxed

Lattice parameters (Å, degrees): 4.795 4.795 5.187 90.00 90.00 90.00
Space group P4/mmm (No. 123)
Inequivalent atoms, fractional coordinates:
Zn  0.000  0.000  0.000 (multiplicity 1)
Ir  0.500  0.500  0.500 (multiplicity 1)
Se  0.000  0.500  0.500 (multiplicity 2)
Br  0.500  0.500  0.000 (multiplicity 1)

Output
* density: 6.90 Mg/m³
* magnetization: 0.00 μB/f.u.
* raw formation energy: 471 meV per atom
* energy relative to the lowest polymorph listed for this composition: 0.000 eV per atom
* VASP energy: -3.724 eV/atom

Entry 11:
ZnIrSe2Br | GGA-PBEsol | relaxed

Lattice parameters (Å, degrees): 4.755 4.755 4.737 90.00 90.00 90.00
Space group P4/mmm (No. 123)
Inequivalent atoms, fractional coordinates:
Zn  0.000  0.000  0.000 (multiplicity 1)
Ir  0.500  0.500  0.500 (multiplicity 1)
Se  0.000  0.500  0.000 (multiplicity 2)
Br  0.000  0.000  0.500 (multiplicity 1)

Output
* density: 7.68 Mg/m³
* magnetization: 1.38 μB/f.u.
* raw formation energy: 1172 meV per atom
* energy relative to the lowest polymorph listed for this composition: 0.701 eV per atom
* VASP energy: -3.023 eV/atom

Entry 12:
Si2IrBr | GGA-PBEsol | relaxed

Lattice parameters (Å, degrees): 6.720 3.541 6.963 90.00 93.69 90.00
Space group Cm (No. 8)
Inequivalent atoms, fractional coordinates:
Si  0.000  0.000  0.000 (multiplicity 2)
Si  0.122  0.500  0.694 (multiplicity 2)
Ir  0.310  0.000  0.862 (multiplicity 2)
Br  0.094  0.500  0.366 (multiplicity 2)

Output
* density: 6.59 Mg/m³
* magnetization: 0.00 μB/f.u.
* raw formation energy: -246 meV per atom
* energy relative to the lowest polymorph listed for this composition: 0.000 eV per atom
* VASP energy: -6.043 eV/atom